! meta-GGA SCAN Zr2InTc, PBEsol geometry; values from VASP
&SYSTEM
  ibrav = 0, nat = 16, ntyp = 3
/
ATOMIC_SPECIES
Zr 91.22 Zr.upf
In 114.82 In.upf
Tc 98.00 Tc.upf
ATOMIC_POSITIONS crystal
Zr 0.0000 0.0000 0.0000
Zr 0.0000 0.5000 0.5000
Zr 0.2500 0.2500 0.2500
Zr 0.2500 0.7500 0.7500
Zr 0.5000 0.0000 0.5000
Zr 0.5000 0.5000 0.0000
Zr 0.7500 0.2500 0.7500
Zr 0.7500 0.7500 0.2500
In 0.0000 0.0000 0.5000
In 0.0000 0.5000 0.0000
In 0.5000 0.0000 0.0000
In 0.5000 0.5000 0.5000
Tc 0.2500 0.2500 0.7500
Tc 0.2500 0.7500 0.2500
Tc 0.7500 0.2500 0.2500
Tc 0.7500 0.7500 0.7500
CELL_PARAMETERS angstrom
6.6753 0.0000 0.0000
0.0000 6.6753 0.0000
0.0000 0.0000 6.6753
! Energy relative to the elements = -190 meV per atom
! Total energy = -522.4 eV for the cell shown
! Excess energy over the best structure of this formula in the dataset = 321 meV/atom
! Magnetization = 0.00 μB/f.u.
! V = 297.5 Å³ per cell